# 1
## LaPr6Ho8 (GGA-PBE)

Data for an optimized crystal structure of LaPr6Ho8.

The structure in CIF format:
```
data_LaPr6Ho8
_space_group_name_H-M_alt 'R -3'
_space_group_IT_number 148
_space_group_name_Hall '-R 3'
_cell_length_a 9.1324
_cell_length_b 9.1324
_cell_length_c 21.1393
_cell_angle_alpha 90.00
_cell_angle_beta 90.00
_cell_angle_gamma 120.00
loop_
_atom_site_label
_atom_site_type_symbol
_atom_site_fract_x
_atom_site_fract_y
_atom_site_fract_z
La1 La 0.0000 0.0000 0.0000
Pr1 Pr 0.0582 0.8112 0.7114
Ho1 Ho 0.0000 0.0000 0.4232
Ho2 Ho 0.0794 0.5192 0.8075
```

Total moment ... 0.0000 μB/atom
Electronic total energy ... -205.03 eV for the cell shown

***

# 2
## La2PrHo8 (GGA-PBE)

Data for an optimized crystal structure of La2PrHo8.

The structure in CIF format:
```
data_La2PrHo8
_space_group_name_H-M_alt 'I m m m'
_space_group_IT_number 71
_space_group_name_Hall '-I 2 2'
_cell_length_a 5.552
_cell_length_b 8.157
_cell_length_c 16.114
_cell_angle_alpha 90.00
_cell_angle_beta 90.00
_cell_angle_gamma 90.00
loop_
_atom_site_label
_atom_site_type_symbol
_atom_site_fract_x
_atom_site_fract_y
_atom_site_fract_z
La1 La 0.000 0.000 0.200
Pr1 Pr 0.000 0.000 0.500
Ho1 Ho 0.000 0.207 0.000
Ho2 Ho 0.000 0.294 0.363
Ho3 Ho 0.000 0.500 0.160
```

Total moment ... 0.0000 μB/atom
Electronic total energy ... -99.88 eV for the cell shown

***

# 3
## LaPr2Ho (GGA-PBE)

Data for an optimized crystal structure of LaPr2Ho.

The structure in CIF format:
```
data_LaPr2Ho
_space_group_name_H-M_alt 'C 1 2/m 1'
_space_group_IT_number 12
_cell_length_a 12.218
_cell_length_b 3.688
_cell_length_c 6.331
_cell_angle_alpha 90.00
_cell_angle_beta 100.04
_cell_angle_gamma 90.00
loop_
_space_group_symop_operation_xyz
'x,y,z'
'-x,-y,-z'
'-x,y,-z'
'x,-y,z'
'x+1/2,y+1/2,z'
'-x+1/2,-y+1/2,-z'
'-x+1/2,y+1/2,-z'
'x+1/2,-y+1/2,z'
loop_
_atom_site_label
_atom_site_type_symbol
_atom_site_fract_x
_atom_site_fract_y
_atom_site_fract_z
La1 La 0.000 0.000 0.000
Pr1 Pr 0.248 0.000 0.748
Ho1 Ho 0.000 0.500 0.500
```

Total moment ... 0.0000 μB/atom
Electronic total energy ... -37.98 eV for the cell shown

***

# 4
## LaPr10Ho6 (GGA-PBE)

Data for an optimized crystal structure of LaPr10Ho6.

The structure in CIF format:
```
data_LaPr10Ho6
_space_group_name_H-M_alt 'P -3 1 m'
_space_group_IT_number 162
_space_group_name_Hall '-P 3 2'
_cell_length_a 9.9425
_cell_length_b 9.9425
_cell_length_c 6.9715
_cell_angle_alpha 90.00
_cell_angle_beta 90.00
_cell_angle_gamma 120.00
loop_
_atom_site_label
_atom_site_type_symbol
_atom_site_fract_x
_atom_site_fract_y
_atom_site_fract_z
La1 La 0.0000 0.0000 0.0000
Pr1 Pr 0.0000 0.2792 0.3221
Pr2 Pr 0.3333 0.6667 0.0000
Pr3 Pr 0.3333 0.6667 0.5000
Ho1 Ho 0.0000 0.3682 0.8148
```

Total moment ... 0.0000 μB/atom
Electronic total energy ... -77.95 eV for the cell shown

***

# 5
## La5Pr6Ho2 (GGA-PBE)

Data for an optimized crystal structure of La5Pr6Ho2.

The structure in CIF format:
```
data_La5Pr6Ho2
_space_group_name_H-M_alt 'P b a m'
_space_group_IT_number 55
_cell_length_a 11.942
_cell_length_b 21.305
_cell_length_c 3.695
_cell_angle_alpha 90.00
_cell_angle_beta 90.00
_cell_angle_gamma 90.00
loop_
_space_group_symop_operation_xyz
'x,y,z'
'-x,-y,-z'
'-x,-y,z'
'x,y,-z'
'x+1/2,-y+1/2,-z'
'-x+1/2,y+1/2,z'
'-x+1/2,y+1/2,-z'
'x+1/2,-y+1/2,z'
loop_
_atom_site_label
_atom_site_type_symbol
_atom_site_fract_x
_atom_site_fract_y
_atom_site_fract_z
La1 La 0.000 0.000 0.000
La2 La 0.085 0.271 0.000
La3 La 0.197 0.552 0.000
Pr1 Pr 0.062 0.417 0.500
Pr2 Pr 0.085 0.130 0.500
Pr3 Pr 0.174 0.859 0.000
Ho1 Ho 0.169 0.709 0.500
```

Total moment ... 0.0000 μB/atom
Electronic total energy ... -122.86 eV for the cell shown

***

# 6
## LaPrHo4 (GGA-PBE)

Data for an optimized crystal structure of LaPrHo4.

The structure in CIF format:
```
data_LaPrHo4
_space_group_name_H-M_alt 'P 1 21/m 1'
_space_group_IT_number 11
_cell_length_a 5.760
_cell_length_b 7.067
_cell_length_c 9.695
_cell_angle_alpha 90.00
_cell_angle_beta 90.21
_cell_angle_gamma 90.00
loop_
_space_group_symop_operation_xyz
'x,y,z'
'-x,-y,-z'
'-x,y+1/2,-z'
'x,-y+1/2,z'
loop_
_atom_site_label
_atom_site_type_symbol
_atom_site_fract_x
_atom_site_fract_y
_atom_site_fract_z
La1 La 0.217 0.250 0.419
Pr1 Pr 0.221 0.750 0.082
Ho1 Ho 0.252 0.001 0.752
Ho2 Ho 0.278 0.250 0.080
Ho3 Ho 0.278 0.750 0.416
```

Total moment ... 0.0000 μB/atom
Electronic total energy ... -55.23 eV for the cell shown

***

# 7
## La2PrHo6 (GGA-PBE)

Data for an optimized crystal structure of La2PrHo6.

The structure in CIF format:
```
data_La2PrHo6
_space_group_name_H-M_alt 'P -3 m 1'
_space_group_IT_number 164
_space_group_name_Hall '-P 3 2"'
_cell_length_a 7.6144
_cell_length_b 7.6144
_cell_length_c 6.0335
_cell_angle_alpha 90.00
_cell_angle_beta 90.00
_cell_angle_gamma 120.00
loop_
_atom_site_label
_atom_site_type_symbol
_atom_site_fract_x
_atom_site_fract_y
_atom_site_fract_z
La1 La 0.3333 0.6667 0.2840
Pr1 Pr 0.0000 0.0000 0.5000
Ho1 Ho 0.1878 0.3757 0.7953
```

Total moment ... 0.0000 μB/atom
Electronic total energy ... -40.09 eV for the cell shown

***

# 8
## La6PrHo12 (GGA-PBE)

Data for an optimized crystal structure of La6PrHo12.

The structure in CIF format:
```
data_La6PrHo12
_space_group_name_H-M_alt 'R -3 m'
_space_group_IT_number 166
_space_group_name_Hall '-R 3 2"'
_cell_length_a 13.3694
_cell_length_b 13.3694
_cell_length_c 12.7304
_cell_angle_alpha 90.00
_cell_angle_beta 90.00
_cell_angle_gamma 120.00
loop_
_atom_site_label
_atom_site_type_symbol
_atom_site_fract_x
_atom_site_fract_y
_atom_site_fract_z
La1 La 0.0369 0.5185 0.1155
Pr1 Pr 0.0000 0.0000 0.5000
Ho1 Ho 0.0000 0.2538 0.0000
Ho2 Ho 0.0919 0.1838 0.7636
```

Total moment ... 0.0003 μB/atom
Electronic total energy ... -255.51 eV for the cell shown

***

# 9
## La2PrHo8 (GGA-PBE)

Data for an optimized crystal structure of La2PrHo8.

The structure in CIF format:
```
data_La2PrHo8
_space_group_name_H-M_alt 'C 1 2/m 1'
_space_group_IT_number 12
_cell_length_a 18.257
_cell_length_b 5.084
_cell_length_c 8.015
_cell_angle_alpha 90.00
_cell_angle_beta 105.32
_cell_angle_gamma 90.00
loop_
_space_group_symop_operation_xyz
'x,y,z'
'-x,-y,-z'
'-x,y,-z'
'x,-y,z'
'x+1/2,y+1/2,z'
'-x+1/2,-y+1/2,-z'
'-x+1/2,y+1/2,-z'
'x+1/2,-y+1/2,z'
loop_
_atom_site_label
_atom_site_type_symbol
_atom_site_fract_x
_atom_site_fract_y
_atom_site_fract_z
La1 La 0.228 0.000 0.137
Pr1 Pr 0.000 0.500 0.500
Ho1 Ho 0.044 0.000 0.226
Ho2 Ho 0.089 0.500 0.955
Ho3 Ho 0.135 0.000 0.677
Ho4 Ho 0.181 0.500 0.406
```

Total moment ... 0.0000 μB/atom
Electronic total energy ... -101.81 eV for the cell shown

***

# 10
## La5Pr3Ho3 (GGA-PBE)

Data for an optimized crystal structure of La5Pr3Ho3.

The structure in CIF format:
```
data_La5Pr3Ho3
_space_group_name_H-M_alt 'P -6 2 m'
_space_group_IT_number 189
_space_group_name_Hall 'P -6 -2'
_cell_length_a 11.5536
_cell_length_b 11.5536
_cell_length_c 3.4910
_cell_angle_alpha 90.00
_cell_angle_beta 90.00
_cell_angle_gamma 120.00
loop_
_atom_site_label
_atom_site_type_symbol
_atom_site_fract_x
_atom_site_fract_y
_atom_site_fract_z
La1 La 0.0000 0.3361 0.0000
La2 La 0.3333 0.6667 0.0000
Pr1 Pr 0.0000 0.5989 0.5000
Ho1 Ho 0.0000 0.8417 0.0000
```

Total moment ... 0.0000 μB/atom
Electronic total energy ... -49.57 eV for the cell shown

***

# 11
## La4PrHo5 (GGA-PBE)

Data for an optimized crystal structure of La4PrHo5.

The structure in CIF format:
```
data_La4PrHo5
_space_group_name_H-M_alt 'P 4/m m m'
_space_group_IT_number 123
_space_group_name_Hall '-P 4 2'
_cell_length_a 3.681
_cell_length_b 3.681
_cell_length_c 25.059
_cell_angle_alpha 90.00
_cell_angle_beta 90.00
_cell_angle_gamma 90.00
loop_
_atom_site_label
_atom_site_type_symbol
_atom_site_fract_x
_atom_site_fract_y
_atom_site_fract_z
La1 La 0.000 0.000 0.100
La2 La 0.000 0.000 0.300
Pr1 Pr 0.000 0.000 0.500
Ho1 Ho 0.500 0.500 0.000
Ho2 Ho 0.500 0.500 0.200
Ho3 Ho 0.500 0.500 0.401
```

Total moment ... 0.0000 μB/atom
Electronic total energy ... -47.13 eV for the cell shown

***

# 12
## LaPrHo5 (GGA-PBE)

Data for an optimized crystal structure of LaPrHo5.

The structure in CIF format:
```
data_LaPrHo5
_space_group_name_H-M_alt 'I m m m'
_space_group_IT_number 71
_space_group_name_Hall '-I 2 2'
_cell_length_a 5.777
_cell_length_b 8.679
_cell_length_c 11.847
_cell_angle_alpha 90.00
_cell_angle_beta 90.00
_cell_angle_gamma 90.00
loop_
_atom_site_label
_atom_site_type_symbol
_atom_site_fract_x
_atom_site_fract_y
_atom_site_fract_z
La1 La 0.000 0.000 0.000
Pr1 Pr 0.000 0.000 0.500
Ho1 Ho 0.000 0.000 0.253
Ho2 Ho 0.000 0.321 0.500
Ho3 Ho 0.000 0.500 0.000
```

Total moment ... 0.0035 μB/atom
Electronic total energy ... -49.82 eV for the cell shown

***

# 13
## LaPr4Ho (GGA-PBE)

Data for an optimized crystal structure of LaPr4Ho.

The structure in CIF format:
```
data_LaPr4Ho
_space_group_name_H-M_alt 'C 1 2/m 1'
_space_group_IT_number 12
_cell_length_a 11.354
_cell_length_b 6.118
_cell_length_c 7.191
_cell_angle_alpha 90.00
_cell_angle_beta 121.60
_cell_angle_gamma 90.00
loop_
_space_group_symop_operation_xyz
'x,y,z'
'-x,-y,-z'
'-x,y,-z'
'x,-y,z'
'x+1/2,y+1/2,z'
'-x+1/2,-y+1/2,-z'
'-x+1/2,y+1/2,-z'
'x+1/2,-y+1/2,z'
loop_
_atom_site_label
_atom_site_type_symbol
_atom_site_fract_x
_atom_site_fract_y
_atom_site_fract_z
La1 La 0.000 0.000 0.000
Pr1 Pr 0.159 0.500 0.503
Pr2 Pr 0.175 0.500 0.018
Ho1 Ho 0.000 0.000 0.500
```

Total moment ... 0.0000 μB/atom
Electronic total energy ... -56.05 eV for the cell shown

***

# 14
## La12PrHo5 (GGA-PBE)

Data for an optimized crystal structure of La12PrHo5.

The structure in CIF format:
```
data_La12PrHo5
_space_group_name_H-M_alt 'C m m m'
_space_group_IT_number 65
_space_group_name_Hall '-C 2 2'
_cell_length_a 11.543
_cell_length_b 18.281
_cell_length_c 6.057
_cell_angle_alpha 90.00
_cell_angle_beta 90.00
_cell_angle_gamma 90.00
loop_
_atom_site_label
_atom_site_type_symbol
_atom_site_fract_x
_atom_site_fract_y
_atom_site_fract_z
La1 La 0.155 0.173 0.000
La2 La 0.157 0.000 0.500
La3 La 0.157 0.332 0.500
La4 La 0.162 0.500 0.000
Pr1 Pr 0.000 0.000 0.000
Ho1 Ho 0.000 0.165 0.500
Ho2 Ho 0.000 0.339 0.000
Ho3 Ho 0.000 0.500 0.500
```

Total moment ... 0.0000 μB/atom
Electronic total energy ... -170.16 eV for the cell shown

***

# 15
## LaPr2Ho9 (GGA-PBE)

Data for an optimized crystal structure of LaPr2Ho9.

The structure in CIF format:
```
data_LaPr2Ho9
_space_group_name_H-M_alt 'P 4/m m m'
_space_group_IT_number 123
_space_group_name_Hall '-P 4 2'
_cell_length_a 5.058
_cell_length_b 5.058
_cell_length_c 15.177
_cell_angle_alpha 90.00
_cell_angle_beta 90.00
_cell_angle_gamma 90.00
loop_
_atom_site_label
_atom_site_type_symbol
_atom_site_fract_x
_atom_site_fract_y
_atom_site_fract_z
La1 La 0.000 0.000 0.000
Pr1 Pr 0.000 0.000 0.333
Ho1 Ho 0.000 0.500 0.168
Ho2 Ho 0.000 0.500 0.500
Ho3 Ho 0.500 0.500 0.000
Ho4 Ho 0.500 0.500 0.334
```

Total moment ... 0.0000 μB/atom
Electronic total energy ... -55.36 eV for the cell shown

***

# 16
## LaPr4Ho6 (GGA-PBE)

Data for an optimized crystal structure of LaPr4Ho6.

The structure in CIF format:
```
data_LaPr4Ho6
_space_group_name_H-M_alt 'P -6 m 2'
_space_group_IT_number 187
_space_group_name_Hall 'P -6 2'
_cell_length_a 11.1009
_cell_length_b 11.1009
_cell_length_c 3.5650
_cell_angle_alpha 90.00
_cell_angle_beta 90.00
_cell_angle_gamma 120.00
loop_
_atom_site_label
_atom_site_type_symbol
_atom_site_fract_x
_atom_site_fract_y
_atom_site_fract_z
La1 La 0.0000 0.0000 0.0000
Pr1 Pr 0.3333 0.6667 0.0000
Pr2 Pr 0.3960 0.1980 0.5000
Ho1 Ho 0.0078 0.5039 0.0000
Ho2 Ho 0.1715 0.3429 0.5000
```

Total moment ... 0.0000 μB/atom
Electronic total energy ... -49.91 eV for the cell shown

***

# 17
## LaPrHo2 (GGA-PBE)

Data for an optimized crystal structure of LaPrHo2.

The structure in CIF format:
```
data_LaPrHo2
_space_group_name_H-M_alt 'P 4/m m m'
_space_group_IT_number 123
_space_group_name_Hall '-P 4 2'
_cell_length_a 3.672
_cell_length_b 3.672
_cell_length_c 10.018
_cell_angle_alpha 90.00
_cell_angle_beta 90.00
_cell_angle_gamma 90.00
loop_
_atom_site_label
_atom_site_type_symbol
_atom_site_fract_x
_atom_site_fract_y
_atom_site_fract_z
La1 La 0.000 0.000 0.000
Pr1 Pr 0.000 0.000 0.500
Ho1 Ho 0.500 0.500 0.251
```

Total moment ... 0.0000 μB/atom
Electronic total energy ... -18.76 eV for the cell shown

***

# 18
## LaPr5Ho4 (GGA-PBE)

Data for an optimized crystal structure of LaPr5Ho4.

The structure in CIF format:
```
data_LaPr5Ho4
_space_group_name_H-M_alt 'C 1 2/m 1'
_space_group_IT_number 12
_cell_length_a 17.304
_cell_length_b 3.648
_cell_length_c 11.227
_cell_angle_alpha 90.00
_cell_angle_beta 94.72
_cell_angle_gamma 90.00
loop_
_space_group_symop_operation_xyz
'x,y,z'
'-x,-y,-z'
'-x,y,-z'
'x,-y,z'
'x+1/2,y+1/2,z'
'-x+1/2,-y+1/2,-z'
'-x+1/2,y+1/2,-z'
'x+1/2,-y+1/2,z'
loop_
_atom_site_label
_atom_site_type_symbol
_atom_site_fract_x
_atom_site_fract_y
_atom_site_fract_z
La1 La 0.000 0.000 0.000
Pr1 Pr 0.000 0.000 0.500
Pr2 Pr 0.141 0.000 0.769
Pr3 Pr 0.200 0.000 0.367
Ho1 Ho 0.037 0.500 0.254
Ho2 Ho 0.177 0.500 0.061
```

Total moment ... 0.0000 μB/atom
Electronic total energy ... -91.87 eV for the cell shown

***

# 19
## LaPr3Ho7 (GGA-PBE)

Data for an optimized crystal structure of LaPr3Ho7.

The structure in CIF format:
```
data_LaPr3Ho7
_space_group_name_H-M_alt 'P -1'
_space_group_IT_number 2
_cell_length_a 6.572
_cell_length_b 6.693
_cell_length_c 8.701
_cell_angle_alpha 98.61
_cell_angle_beta 99.32
_cell_angle_gamma 94.87
loop_
_space_group_symop_operation_xyz
'x,y,z'
'-x,-y,-z'
loop_
_atom_site_label
_atom_site_type_symbol
_atom_site_fract_x
_atom_site_fract_y
_atom_site_fract_z
La1 La 0.000 0.000 0.000
Pr1 Pr 0.295 0.436 0.343
Pr2 Pr 0.500 0.000 0.500
Ho1 Ho 0.000 0.500 0.000
Ho2 Ho 0.055 0.205 0.643
Ho3 Ho 0.233 0.719 0.718
Ho4 Ho 0.486 0.239 0.911
```

Total moment ... 0.0000 μB/atom
Electronic total energy ... -50.03 eV for the cell shown

***

# 20
## La3Pr2Ho3 (GGA-PBE)

Data for an optimized crystal structure of La3Pr2Ho3.

The structure in CIF format:
```
data_La3Pr2Ho3
_space_group_name_H-M_alt 'I m m m'
_space_group_IT_number 71
_space_group_name_Hall '-I 2 2'
_cell_length_a 5.106
_cell_length_b 5.194
_cell_length_c 20.830
_cell_angle_alpha 90.00
_cell_angle_beta 90.00
_cell_angle_gamma 90.00
loop_
_atom_site_label
_atom_site_type_symbol
_atom_site_fract_x
_atom_site_fract_y
_atom_site_fract_z
La1 La 0.000 0.000 0.000
La2 La 0.000 0.500 0.121
Pr1 Pr 0.000 0.000 0.249
Ho1 Ho 0.000 0.000 0.500
Ho2 Ho 0.000 0.500 0.375
```

Total moment ... 0.0000 μB/atom
Electronic total energy ... -75.75 eV for the cell shown